# 1
Material: CaHf2C2
Method: DFT, PBE
State: optimized geometry

The structure belongs to space group I4/mmm (No. 139); the cell edges are 4.251, 4.251 and 10.002 Å and the angles 90.00°, 90.00° and 90.00°. Symmetry generates all atoms from Ca at (0.000, 0.000, 0.000), Hf at (0.000, 0.000, 0.313) and C at (0.000, 0.500, 0.250).

As for the total energy: -8.30 eV/atom.

# 2
Material: CaHfC2
Method: DFT, PBE
State: optimized geometry

The structure belongs to space group Fm-3m (No. 225); the cell edges are 5.946, 5.946 and 5.946 Å and the angles 90.00°, 90.00° and 90.00°. Symmetry generates all atoms from Ca at (0.000, 0.000, 0.000), Hf at (0.000, 0.000, 0.500) and C at (0.250, 0.250, 0.250).

As for the total energy: -6.73 eV/atom.

# 3
Material: CaHfC3
Method: DFT, PBE
State: optimized geometry

The structure belongs to space group Pm-3m (No. 221); the cell edges are 4.308, 4.308 and 4.308 Å and the angles 90.00°, 90.00° and 90.00°. Symmetry generates all atoms from Ca at (0.000, 0.000, 0.000), Hf at (0.500, 0.500, 0.500) and C at (0.000, 0.500, 0.500).

As for the total energy: -6.79 eV/atom.

# 4
Material: CaHf3C
Method: DFT, PBE
State: optimized geometry

The structure belongs to space group Pm-3m (No. 221); the cell edges are 4.667, 4.667 and 4.667 Å and the angles 90.00°, 90.00° and 90.00°. Symmetry generates all atoms from Ca at (0.000, 0.000, 0.000), Hf at (0.000, 0.500, 0.500) and C at (0.500, 0.500, 0.500).

As for the total energy: -8.20 eV/atom.

# 5
Material: Ca2HfHgC
Method: DFT, PBE
State: optimized geometry

The structure belongs to space group P4/mmm (No. 123); the cell edges are 5.070, 5.070 and 4.449 Å and the angles 90.00°, 90.00° and 90.00°. Symmetry generates all atoms from Ca at (0.000, 0.500, 0.000), Hf at (0.000, 0.000, 0.500), Hg at (0.500, 0.500, 0.500) and C at (0.000, 0.000, 0.000).

As for the total energy: -4.78 eV/atom.

# 6
Material: Ca2HfCI
Method: DFT, PBE
State: optimized geometry

The structure belongs to space group P4/mmm (No. 123); the cell edges are 6.213, 6.213 and 4.178 Å and the angles 90.00°, 90.00° and 90.00°. Symmetry generates all atoms from Ca at (0.000, 0.500, 0.000), Hf at (0.000, 0.000, 0.000), C at (0.000, 0.000, 0.500) and I at (0.500, 0.500, 0.500).

As for the total energy: -4.47 eV/atom.

# 7
Material: LiCaHf2C
Method: DFT, PBE
State: optimized geometry

The structure belongs to space group P4/mmm (No. 123); the cell edges are 5.068, 5.068 and 3.855 Å and the angles 90.00°, 90.00° and 90.00°. Symmetry generates all atoms from Li at (0.000, 0.000, 0.000), Ca at (0.000, 0.000, 0.500), Hf at (0.000, 0.500, 0.500) and C at (0.500, 0.500, 0.000).

As for the total energy: -3.90 eV/atom.

# 8
Material: Na2CaHfC
Method: DFT, PBE
State: optimized geometry

The structure belongs to space group P4/mmm (No. 123); the cell edges are 6.247, 6.247 and 6.132 Å and the angles 90.00°, 90.00° and 90.00°. Symmetry generates all atoms from Na at (0.000, 0.500, 0.000), Ca at (0.000, 0.000, 0.500), Hf at (0.000, 0.000, 0.000) and C at (0.500, 0.500, 0.500).

As for the total energy: -2.28 eV/atom.

# 9
Material: Ca2HfNiC
Method: DFT, PBE
State: optimized geometry

The structure belongs to space group P4/mmm (No. 123); the cell edges are 4.909, 4.909 and 4.429 Å and the angles 90.00°, 90.00° and 90.00°. Symmetry generates all atoms from Ca at (0.000, 0.500, 0.000), Hf at (0.000, 0.000, 0.500), Ni at (0.500, 0.500, 0.500) and C at (0.000, 0.000, 0.000).

As for the total energy: -5.56 eV/atom.

# 10
Material: Ca2HfReC
Method: DFT, PBE
State: optimized geometry

The structure belongs to space group P4/mmm (No. 123); the cell edges are 5.764, 5.764 and 3.914 Å and the angles 90.00°, 90.00° and 90.00°. Symmetry generates all atoms from Ca at (0.000, 0.500, 0.000), Hf at (0.000, 0.000, 0.500), Re at (0.500, 0.500, 0.000) and C at (0.500, 0.500, 0.500).

As for the total energy: -5.85 eV/atom.

# 11
Material: CaHgC
Method: DFT, PBE
State: optimized geometry

The structure belongs to space group C2/m (No. 12); the cell edges are 7.373, 3.780 and 9.812 Å and the angles 90.00°, 99.20° and 90.00°. Symmetry generates all atoms from Ca at (0.101, 0.000, 0.344), Hg at (0.134, 0.500, 0.897) and C at (0.080, 0.500, 0.538).

As for the total energy: -3.98 eV/atom.

# 12
Material: CaHg2C
Method: DFT, PBE
State: optimized geometry

The structure belongs to space group I4_1/amd (No. 141, origin choice 2); the cell edges are 6.913, 6.913 and 9.823 Å and the angles 90.00°, 90.00° and 90.00°. Symmetry generates all atoms from Ca at (0.000, 0.250, 0.375), Hg at (0.000, 0.000, 0.000) and C at (0.000, 0.250, 0.875).

As for the total energy: -2.17 eV/atom.

It is found that the density of states at the Fermi level values, taken in the order of the records, are 0.41; 4.31; 1.68; 4.93; 4.60; 3.77; 4.50; 8.55; 6.21; 5.63; 1.19; 0.89 states/eV/f.u..